# MgSiAu6

Crystalline MgSiAu6 at its relaxed geometry (PBE-GGA, Alexandria via LeMat-Bulk).

Output
**Theoretical density**: 14.6 Mg/m³
**Formation energy without anion corrections**: -0.1099 eV/atom
**Space-group type**: C2/m (12)
**Fermi-level density of states**: 2.22 states/eV/f.u.

POSCAR file:
```
MgSiAu6
1.0
-2.058 -4.109 0.470
3.763 -1.625 2.131
-1.610 -0.954 7.068
Au Si Mg
6 1 1
direct
0.115 0.616 0.771 Au
0.384 0.885 0.229 Au
0.747 0.747 0.503 Au
0.253 0.253 0.497 Au
0.885 0.384 0.229 Au
0.616 0.115 0.771 Au
0.000 0.000 0.000 Si
0.500 0.500 0.000 Mg
```